# PBE V8Cr3Ga2, optimized geometry
# mass density: 6.07 g cm⁻³
# D(E_F): 12.2 states/eV/f.u.
# ΔE_f: 302 meV/atom
# space-group type: C2/m (12)
data_V8Cr3Ga2
_cell_length_a 6.995
_cell_length_b 6.995
_cell_length_c 4.322
_cell_angle_alpha 95.60
_cell_angle_beta 95.60
_cell_angle_gamma 66.33
_symmetry_space_group_name_H-M 'P 1'
_symmetry_Int_Tables_number 1
loop_
_symmetry_equiv_pos_as_xyz
'x,y,z'
loop_
_atom_site_label
_atom_site_fract_x
_atom_site_fract_y
_atom_site_fract_z
V1 0.107 0.673 0.515
V2 0.117 0.117 0.941
V3 0.327 0.893 0.485
V4 0.380 0.380 0.005
V5 0.620 0.620 0.995
V6 0.673 0.107 0.515
V7 0.883 0.883 0.059
V8 0.893 0.327 0.485
Cr1 0.249 0.751 0.000
Cr2 0.500 0.500 0.500
Cr3 0.751 0.249 0.000
Ga1 0.268 0.268 0.469
Ga2 0.732 0.732 0.531


# PBE V3Cr3Ga, optimized geometry
# mass density: 6.64 g cm⁻³
# D(E_F): 8.9 states/eV/f.u.
# ΔE_f: 271 meV/atom
# space-group type: R-3 (148)
data_V3Cr3Ga
_cell_length_a 6.321
_cell_length_b 6.321
_cell_length_c 6.321
_cell_angle_alpha 62.68
_cell_angle_beta 62.68
_cell_angle_gamma 62.68
_symmetry_space_group_name_H-M 'P 1'
_symmetry_Int_Tables_number 1
loop_
_symmetry_equiv_pos_as_xyz
'x,y,z'
loop_
_atom_site_label
_atom_site_fract_x
_atom_site_fract_y
_atom_site_fract_z
V1 0.058 0.730 0.572
V2 0.270 0.428 0.942
V3 0.428 0.942 0.270
V4 0.572 0.058 0.730
V5 0.730 0.572 0.058
V6 0.942 0.270 0.428
Cr1 0.060 0.290 0.835
Cr2 0.165 0.940 0.710
Cr3 0.290 0.835 0.060
Cr4 0.710 0.165 0.940
Cr5 0.835 0.060 0.290
Cr6 0.940 0.710 0.165
Ga1 0.356 0.356 0.356
Ga2 0.644 0.644 0.644


no.,E_tot (eV for the cell shown)
1,-103.95
2,-114.72